# Ca2YZr

Ca2YZr after structural relaxation (PBEsol, Alexandria via LeMat-Bulk).

## Properties
- Final energy: -4.67 eV per atom
- Space group: Cmmm, No. 65
- Calculated formation energy: 0.37 eV/atom

Cell lengths 6.300, 6.300, 3.350 Å; angles 90.00, 90.00, 115.32 degrees
Fractional coordinates of all 4 atoms:
Ca (0.000, 0.500, 0.000)
Ca (0.500, 0.000, 0.000)
Y (0.000, 0.000, 0.500)
Zr (0.500, 0.500, 0.500)

=====

# CaY2Zr

CaY2Zr after structural relaxation (PBEsol, Alexandria via LeMat-Bulk).

## Properties
- Final energy: -6.01 eV per atom
- Space group: Cm, No. 8
- Calculated formation energy: 0.21 eV/atom

Cell lengths 5.935, 5.935, 6.097 Å; angles 98.92, 98.92, 33.25 degrees
Fractional coordinates of all 4 atoms:
Ca (0.000, 0.000, 0.000)
Y (0.512, 0.512, 0.525)
Y (0.758, 0.758, 0.264)
Zr (0.251, 0.251, 0.725)

=====

# CaZn2

CaZn2 after structural relaxation (PBEsol, Alexandria via LeMat-Bulk).

## Properties
- Final energy: -2.05 eV per atom
- Space group: Imma, No. 74
- Calculated formation energy: -0.29 eV/atom

Cell lengths 5.635, 5.635, 5.635 Å; angles 132.88, 100.04, 98.35 degrees
Fractional coordinates of all 6 atoms:
Ca (0.303, 0.053, 0.250)
Ca (0.697, 0.947, 0.750)
Zn (0.099, 0.663, 0.436)
Zn (0.272, 0.337, 0.936)
Zn (0.728, 0.663, 0.064)
Zn (0.901, 0.337, 0.564)

=====

# Ca2Zn3

Ca2Zn3 after structural relaxation (PBEsol, Alexandria via LeMat-Bulk).

## Properties
- Final energy: -1.96 eV per atom
- Space group: R-3m, No. 166
- Calculated formation energy: -0.16 eV/atom

Cell lengths 7.151, 7.151, 7.151 Å; angles 36.52, 36.52, 36.52 degrees
Fractional coordinates of all 5 atoms:
Ca (0.088, 0.088, 0.088)
Ca (0.912, 0.912, 0.912)
Zn (0.335, 0.335, 0.335)
Zn (0.500, 0.500, 0.500)
Zn (0.665, 0.665, 0.665)

=====

# CaZn2

CaZn2 after structural relaxation (PBEsol, Alexandria via LeMat-Bulk).

## Properties
- Final energy: -2.04 eV per atom
- Space group: P6_3/mmc, No. 194
- Calculated formation energy: -0.28 eV/atom

Cell lengths 5.494, 5.494, 8.705 Å; angles 90.00, 90.00, 120.00 degrees
Fractional coordinates of all 12 atoms:
Ca (0.333, 0.667, 0.058)
Ca (0.333, 0.667, 0.442)
Ca (0.667, 0.333, 0.558)
Ca (0.667, 0.333, 0.942)
Zn (0.000, 0.000, 0.000)
Zn (0.000, 0.000, 0.500)
Zn (0.166, 0.332, 0.750)
Zn (0.166, 0.834, 0.750)
Zn (0.332, 0.166, 0.250)
Zn (0.668, 0.834, 0.750)
Zn (0.834, 0.166, 0.250)
Zn (0.834, 0.668, 0.250)

=====

# CaZn2

CaZn2 after structural relaxation (PBEsol, Alexandria via LeMat-Bulk).

## Properties
- Final energy: -2.00 eV per atom
- Space group: C2/m, No. 12
- Calculated formation energy: -0.23 eV/atom

Cell lengths 5.816, 5.816, 5.841 Å; angles 108.68, 108.68, 43.13 degrees
Fractional coordinates of all 6 atoms:
Ca (0.106, 0.106, 0.308)
Ca (0.894, 0.894, 0.692)
Zn (0.223, 0.223, 0.876)
Zn (0.399, 0.399, 0.305)
Zn (0.601, 0.601, 0.695)
Zn (0.777, 0.777, 0.124)

=====

# CaZn2

CaZn2 after structural relaxation (PBEsol, Alexandria via LeMat-Bulk).

## Properties
- Final energy: -1.94 eV per atom
- Space group: Cmcm, No. 63
- Calculated formation energy: -0.17 eV/atom

Cell lengths 6.753, 6.753, 4.609 Å; angles 90.00, 90.00, 145.11 degrees
Fractional coordinates of all 6 atoms:
Ca (0.089, 0.911, 0.750)
Ca (0.911, 0.089, 0.250)
Zn (0.242, 0.758, 0.250)
Zn (0.377, 0.623, 0.750)
Zn (0.623, 0.377, 0.250)
Zn (0.758, 0.242, 0.750)

=====

# Ca5Zn4

Ca5Zn4 after structural relaxation (PBEsol, Alexandria via LeMat-Bulk).

## Properties
- Final energy: -1.99 eV per atom
- Space group: P6_3/mcm, No. 193
- Calculated formation energy: -0.11 eV/atom

Cell lengths 9.171, 9.171, 6.501 Å; angles 90.00, 90.00, 120.00 degrees
Fractional coordinates of all 18 atoms:
Ca (0.000, 0.278, 0.250)
Ca (0.000, 0.722, 0.750)
Ca (0.278, 0.000, 0.250)
Ca (0.278, 0.278, 0.750)
Ca (0.333, 0.667, 0.000)
Ca (0.333, 0.667, 0.500)
Ca (0.667, 0.333, 0.000)
Ca (0.667, 0.333, 0.500)
Ca (0.722, 0.000, 0.750)
Ca (0.722, 0.722, 0.250)
Zn (0.000, 0.000, 0.000)
Zn (0.000, 0.000, 0.500)
Zn (0.000, 0.384, 0.750)
Zn (0.000, 0.616, 0.250)
Zn (0.384, 0.000, 0.750)
Zn (0.384, 0.384, 0.250)
Zn (0.616, 0.000, 0.250)
Zn (0.616, 0.616, 0.750)

=====

# Ca5Zn3

Ca5Zn3 after structural relaxation (PBEsol, Alexandria via LeMat-Bulk).

## Properties
- Final energy: -2.05 eV per atom
- Space group: I4/mcm, No. 140
- Calculated formation energy: -0.13 eV/atom

Cell lengths 9.072, 9.072, 9.072 Å; angles 96.43, 96.43, 140.91 degrees
Fractional coordinates of all 16 atoms:
Ca (0.082, 0.786, 0.868)
Ca (0.214, 0.082, 0.297)
Ca (0.250, 0.750, 0.500)
Ca (0.286, 0.582, 0.868)
Ca (0.418, 0.286, 0.703)
Ca (0.582, 0.714, 0.297)
Ca (0.714, 0.418, 0.132)
Ca (0.750, 0.250, 0.500)
Ca (0.786, 0.918, 0.703)
Ca (0.918, 0.214, 0.132)
Zn (0.160, 0.340, 0.500)
Zn (0.250, 0.250, 0.000)
Zn (0.340, 0.840, 0.181)
Zn (0.660, 0.160, 0.819)
Zn (0.750, 0.750, 0.000)
Zn (0.840, 0.660, 0.500)

=====

# CaZn2

CaZn2 after structural relaxation (PBEsol, Alexandria via LeMat-Bulk).

## Properties
- Final energy: -1.99 eV per atom
- Space group: I4_1/amd, No. 141
- Calculated formation energy: -0.23 eV/atom

Cell lengths 8.295, 8.295, 8.295 Å; angles 151.58, 151.58, 40.63 degrees
Fractional coordinates of all 6 atoms:
Ca (0.375, 0.625, 0.750)
Ca (0.625, 0.375, 0.250)
Zn (0.044, 0.794, 0.250)
Zn (0.206, 0.956, 0.250)
Zn (0.794, 0.044, 0.750)
Zn (0.956, 0.206, 0.750)

=====

# Ca5Zn3

Ca5Zn3 after structural relaxation (PBEsol, Alexandria via LeMat-Bulk).

## Properties
- Final energy: -2.00 eV per atom
- Space group: Cmmm, No. 65
- Calculated formation energy: -0.07 eV/atom

Cell lengths 6.588, 6.588, 5.138 Å; angles 90.00, 90.00, 104.59 degrees
Fractional coordinates of all 8 atoms:
Ca (0.000, 0.000, 0.000)
Ca (0.000, 0.500, 0.000)
Ca (0.289, 0.289, 0.500)
Ca (0.500, 0.000, 0.000)
Ca (0.711, 0.711, 0.500)
Zn (0.215, 0.785, 0.500)
Zn (0.500, 0.500, 0.000)
Zn (0.785, 0.215, 0.500)

=====

# CaZn11

CaZn11 after structural relaxation (PBEsol, Alexandria via LeMat-Bulk).

## Properties
- Final energy: -1.81 eV per atom
- Space group: I4_1/amd, No. 141
- Calculated formation energy: -0.18 eV/atom

Cell lengths 8.115, 8.115, 8.115 Å; angles 99.78, 99.78, 131.33 degrees
Fractional coordinates of all 24 atoms:
Ca (0.375, 0.625, 0.750)
Ca (0.625, 0.375, 0.250)
Zn (0.000, 0.000, 0.000)
Zn (0.000, 0.000, 0.500)
Zn (0.000, 0.500, 0.000)
Zn (0.125, 0.875, 0.250)
Zn (0.134, 0.557, 0.334)
Zn (0.134, 0.800, 0.577)
Zn (0.200, 0.278, 0.334)
Zn (0.200, 0.866, 0.923)
Zn (0.278, 0.200, 0.834)
Zn (0.278, 0.443, 0.077)
Zn (0.443, 0.278, 0.577)
Zn (0.443, 0.866, 0.166)
Zn (0.500, 0.000, 0.500)
Zn (0.557, 0.134, 0.834)
Zn (0.557, 0.722, 0.423)
Zn (0.722, 0.557, 0.923)
Zn (0.722, 0.800, 0.166)
Zn (0.800, 0.134, 0.077)
Zn (0.800, 0.722, 0.666)
Zn (0.866, 0.200, 0.423)
Zn (0.866, 0.443, 0.666)
Zn (0.875, 0.125, 0.750)

=====

# CaZrZn

CaZrZn after structural relaxation (PBEsol, Alexandria via LeMat-Bulk).

## Properties
- Final energy: -3.43 eV per atom
- Space group: F-43m, No. 216
- Calculated formation energy: 0.83 eV/atom

Cell lengths 4.709, 4.709, 4.709 Å; angles 60.00, 60.00, 60.00 degrees
Fractional coordinates of all 3 atoms:
Ca (0.000, 0.000, 0.000)
Zr (0.750, 0.750, 0.750)
Zn (0.500, 0.500, 0.500)

=====

# CaZr2Zn

CaZr2Zn after structural relaxation (PBEsol, Alexandria via LeMat-Bulk).

## Properties
- Final energy: -5.24 eV per atom
- Space group: I-4m2, No. 119
- Calculated formation energy: 0.23 eV/atom

Cell lengths 5.422, 5.422, 5.422 Å; angles 132.19, 132.19, 69.92 degrees
Fractional coordinates of all 4 atoms:
Ca (0.000, 0.000, 0.000)
Zr (0.250, 0.750, 0.500)
Zr (0.500, 0.500, 0.000)
Zn (0.750, 0.250, 0.500)

=====

# CaZrZn3

CaZrZn3 after structural relaxation (PBEsol, Alexandria via LeMat-Bulk).

## Properties
- Final energy: -2.16 eV per atom
- Space group: Pm-3m, No. 221
- Calculated formation energy: 1.04 eV/atom

Cell lengths 4.816, 4.816, 4.816 Å; angles 90.00, 90.00, 90.00 degrees
Fractional coordinates of all 5 atoms:
Ca (0.000, 0.000, 0.000)
Zr (0.500, 0.500, 0.500)
Zn (0.000, 0.000, 0.500)
Zn (0.000, 0.500, 0.000)
Zn (0.500, 0.000, 0.000)

=====

# CaZr

CaZr after structural relaxation (PBEsol, Alexandria via LeMat-Bulk).

## Properties
- Final energy: -5.14 eV per atom
- Space group: Fd-3m, No. 227
- Calculated formation energy: 0.47 eV/atom

Cell lengths 5.364, 5.364, 5.364 Å; angles 60.00, 60.00, 60.00 degrees
Fractional coordinates of all 4 atoms:
Ca (0.125, 0.125, 0.125)
Ca (0.875, 0.875, 0.875)
Zr (0.375, 0.375, 0.375)
Zr (0.625, 0.625, 0.625)

=====

# CaZr

CaZr after structural relaxation (PBEsol, Alexandria via LeMat-Bulk).

## Properties
- Final energy: -5.38 eV per atom
- Space group: P4/nmm, No. 129
- Calculated formation energy: 0.23 eV/atom

Cell lengths 3.744, 3.744, 8.433 Å; angles 90.00, 90.00, 90.00 degrees
Fractional coordinates of all 4 atoms:
Ca (0.250, 0.250, 0.171)
Ca (0.750, 0.750, 0.829)
Zr (0.250, 0.250, 0.566)
Zr (0.750, 0.750, 0.434)

=====

# CaZr3

CaZr3 after structural relaxation (PBEsol, Alexandria via LeMat-Bulk).

## Properties
- Final energy: -7.02 eV per atom
- Space group: Pm-3m, No. 221
- Calculated formation energy: 0.33 eV/atom

Cell lengths 4.570, 4.570, 4.570 Å; angles 90.00, 90.00, 90.00 degrees
Fractional coordinates of all 4 atoms:
Ca (0.000, 0.000, 0.000)
Zr (0.000, 0.500, 0.500)
Zr (0.500, 0.000, 0.500)
Zr (0.500, 0.500, 0.000)

=====

# Ca3Zr

Ca3Zr after structural relaxation (PBEsol, Alexandria via LeMat-Bulk).

## Properties
- Final energy: -3.60 eV per atom
- Space group: P-6m2, No. 187
- Calculated formation energy: 0.27 eV/atom

Cell lengths 3.531, 3.531, 12.023 Å; angles 90.00, 90.00, 120.00 degrees
Fractional coordinates of all 4 atoms:
Ca (0.000, 0.000, 0.000)
Ca (0.667, 0.333, 0.275)
Ca (0.667, 0.333, 0.725)
Zr (0.000, 0.000, 0.500)

=====

# CaZr

CaZr after structural relaxation (PBEsol, Alexandria via LeMat-Bulk).

## Properties
- Final energy: -5.22 eV per atom
- Space group: R-3m, No. 166
- Calculated formation energy: 0.40 eV/atom

Cell lengths 6.170, 6.170, 6.170 Å; angles 30.46, 30.46, 30.46 degrees
Fractional coordinates of all 2 atoms:
Ca (0.000, 0.000, 0.000)
Zr (0.500, 0.500, 0.500)

=====

# CaZr

CaZr after structural relaxation (PBEsol, Alexandria via LeMat-Bulk).

## Properties
- Final energy: -5.39 eV per atom
- Space group: Pmmn, No. 59
- Calculated formation energy: 0.23 eV/atom

Cell lengths 3.431, 4.136, 8.263 Å; angles 90.00, 90.00, 90.00 degrees
Fractional coordinates of all 4 atoms:
Ca (0.250, 0.250, 0.166)
Ca (0.750, 0.750, 0.834)
Zr (0.250, 0.250, 0.575)
Zr (0.750, 0.750, 0.425)

=====

# Ca3Zr

Ca3Zr after structural relaxation (PBEsol, Alexandria via LeMat-Bulk).

## Properties
- Final energy: -3.50 eV per atom
- Space group: Immm, No. 71
- Calculated formation energy: 0.38 eV/atom

Cell lengths 6.878, 6.878, 6.878 Å; angles 148.90, 128.86, 61.07 degrees
Fractional coordinates of all 4 atoms:
Ca (0.000, 0.000, 0.000)
Ca (0.265, 0.765, 0.500)
Ca (0.735, 0.235, 0.500)
Zr (0.500, 0.500, 0.000)

=====

# Ca3Zr

Ca3Zr after structural relaxation (PBEsol, Alexandria via LeMat-Bulk).

## Properties
- Final energy: -3.53 eV per atom
- Space group: C2/m, No. 12
- Calculated formation energy: 0.35 eV/atom

Cell lengths 6.212, 6.212, 6.386 Å; angles 98.91, 98.91, 32.53 degrees
Fractional coordinates of all 4 atoms:
Ca (0.000, 0.000, 0.000)
Ca (0.242, 0.242, 0.733)
Ca (0.758, 0.758, 0.267)
Zr (0.500, 0.500, 0.500)

=====

# Cd

Cd after structural relaxation (PBEsol, Alexandria via LeMat-Bulk).

## Properties
- Final energy: -1.05 eV per atom
- Space group: I4_1/amd, No. 141
- Calculated formation energy: 0.14 eV/atom

Cell lengths 4.288, 4.288, 4.288 Å; angles 96.42, 96.42, 140.93 degrees
Fractional coordinates of all 2 atoms:
Cd (0.375, 0.625, 0.750)
Cd (0.625, 0.375, 0.250)

=====

# Cd

Cd after structural relaxation (PBEsol, Alexandria via LeMat-Bulk).

## Properties
- Final energy: -1.13 eV per atom
- Space group: Im-3m, No. 229
- Calculated formation energy: 0.07 eV/atom

Cell lengths 3.021, 3.021, 3.021 Å; angles 109.47, 109.47, 109.47 degrees
Fractional coordinates of all 1 atoms:
Cd (0.000, 0.000, 0.000)

=====

# Cd

Cd after structural relaxation (PBEsol, Alexandria via LeMat-Bulk).

## Properties
- Final energy: -1.20 eV per atom
- Space group: P6_3/mmc, No. 194
- Calculated formation energy: 0.00 eV/atom

Cell lengths 2.960, 2.960, 5.471 Å; angles 90.00, 90.00, 120.00 degrees
Fractional coordinates of all 2 atoms:
Cd (0.333, 0.667, 0.250)
Cd (0.667, 0.333, 0.750)

=====

# Cd

Cd after structural relaxation (PBEsol, Alexandria via LeMat-Bulk).

## Properties
- Final energy: -1.13 eV per atom
- Space group: R-3m, No. 166
- Calculated formation energy: 0.07 eV/atom

Cell lengths 2.942, 2.942, 2.942 Å; angles 106.55, 106.55, 106.55 degrees
Fractional coordinates of all 1 atoms:
Cd (0.000, 0.000, 0.000)